This record from the Alexandria database describes Na2BeSiO4 after structural relaxation. The functional is PBEsol.

DFT total energy in eV/atom: -6.666
ΔE to the lowest computed polymorph in meV per atom: 7

Unit cell a=9.873 b=4.918 c=13.871 alpha=90.00 beta=90.00 gamma=90.00
Space group Pca2_1 (No. 29)
Symmetry-distinct sites (fractional):
Na  0.004  0.022  0.000 x4
Na  0.012  0.507  0.384 x4
Na  0.228  0.531  0.759 x4
Na  0.232  0.034  0.627 x4
Be  0.014  0.026  0.253 x4
Be  0.231  0.509  0.508 x4
Si  0.017  0.525  0.133 x4
Si  0.234  0.012  0.878 x4
O  0.012  0.799  0.653 x4
O  0.014  0.300  0.731 x4
O  0.086  0.378  0.545 x4
O  0.093  0.878  0.837 x4
O  0.169  0.100  0.287 x4
O  0.175  0.588  0.102 x4
O  0.191  0.277  0.943 x4
O  0.191  0.778  0.443 x4